Computed, not measured: CaGaC2 after structural relaxation at the PBE level of DFT.

The space group is I-42d (No. 122) and the conventional cell measures 4.385, 4.385 and 12.581 Å, with angles of 90.00, 90.00 and 90.00 degrees. Symmetry generates all atoms from Ca at (0.000, 0.000, 0.000), Ga at (0.000, 0.000, 0.500) and C at (0.111, 0.250, 0.625).

The formation energy is 911 meV/atom. The calculation puts the total DFT energy (no corrections) at -4.958 eV/atom.

---

Computed, not measured: CaGa3C after structural relaxation at the PBE level of DFT.

The space group is Pm-3m (No. 221) and the conventional cell measures 4.553, 4.553 and 4.553 Å, with angles of 90.00, 90.00 and 90.00 degrees. Symmetry generates all atoms from Ca at (0.000, 0.000, 0.000), Ga at (0.000, 0.500, 0.500) and C at (0.500, 0.500, 0.500).

The energy above the most stable polymorph in this dataset is 0 meV per atom. The formation energy is 521 meV/atom. The calculation puts the total DFT energy (no corrections) at -3.540 eV/atom.

---

What did the second record say?
Computed, not measured: CaGa3C after structural relaxation at the PBE level of DFT.

The space group is Pm-3m (No. 221) and the conventional cell measures 4.553, 4.553 and 4.553 Å, with angles of 90.00, 90.00 and 90.00 degrees. Symmetry generates all atoms from Ca at (0.000, 0.000, 0.000), Ga at (0.000, 0.500, 0.500) and C at (0.500, 0.500, 0.500).

The energy above the most stable polymorph in this dataset is 0 meV per atom. The formation energy is 521 meV/atom. The calculation puts the total DFT energy (no corrections) at -3.540 eV/atom.

---

Q: The lowest total DFT energy (no corrections) belongs to which entry?
A: CaGaC2

---

Q: Which value of total DFT energy (no corrections) does entry 1 give?
A: -4.958 eV/atom